Material: CaTiTlPt2
Method: DFT, GGA-PBE
State: optimized geometry

Calculated values
Its space-group type is P4/mmm. Its total magnetic moment is 0.002 μB/cell. As for the formation energy: 1083 meV per atom. The total energy is -3.79 eV per atom.

a b c (Å): 4.990 4.990 4.881
angles (deg): 90.00 90.00 90.00
Fractional positions:
Ca: 0.000 0.000 0.000
Ti: 0.000 0.000 0.500
Tl: 0.500 0.500 0.500
Pt: 0.000 0.500 0.000
Pt: 0.500 0.000 0.000

---

Material: Dy4InAg2Rh
Method: DFT, GGA-PBE
State: optimized geometry

Calculated values
Its space-group type is R-3m. Its total magnetic moment is 0.000 μB/cell. As for the formation energy: -521 meV per atom. The total energy is -4.80 eV per atom.

a b c (Å): 8.807 8.807 8.807
angles (deg): 33.81 33.81 33.81
Fractional positions:
Dy: 0.115 0.115 0.115
Dy: 0.368 0.368 0.368
Dy: 0.632 0.632 0.632
Dy: 0.885 0.885 0.885
In: 0.500 0.500 0.500
Ag: 0.241 0.241 0.241
Ag: 0.759 0.759 0.759
Rh: 0.000 0.000 0.000